1.
# LiAlFe

An optimized crystal structure of LiAlFe (PBEsol, the Alexandria database).

Unit cell a=6.3062 b=6.3062 c=6.3062 alpha=156.20 beta=156.20 gamma=33.91
Closest atoms and distances in Å follow each position.
Element x y z (fractional)
Li1 0.0000 0.0000 0.0000  4 Li 2.60, 4 Fe 2.76, 4 Al 2.89
Al1 0.3155 0.3155 0.0000  4 Fe 2.54, 4 Al 2.60
Fe1 0.6701 0.6701 0.0000  4 Al 2.54, 4 Fe 2.60, 4 Li 2.76

Summary:
- Crystal system: tetragonal
- Formation enthalpy at 0 K: 1.07 kcal/mol of atoms
- Uncorrected energy: -4.961 eV/atom


2.
# Y2CuP

An optimized crystal structure of Y2CuP (PBEsol, the Alexandria database).

Unit cell a=3.9133 b=5.5695 c=5.5695 alpha=41.56 beta=90.00 gamma=90.00
Closest atoms and distances in Å follow each position.
Element x y z (fractional)
Y1 0.0000 0.0000 0.0000  4 P 2.87, 3 Cu 2.95-3.02
Y2 0.5000 0.2856 0.2856  4 Cu 2.89, 3 P 2.95-3.00
Cu1 0.0000 0.7104 0.7104  2 P 2.45
P1 0.5000 0.5688 0.5688  2 Cu 2.45

Summary:
- Crystal system: orthorhombic
- Formation enthalpy at 0 K: -20.74 kcal/mol of atoms
- Uncorrected energy: -6.842 eV/atom